A geometry-optimized DyMg4Sc2 structure, computed with GGA-PBE.

Summary:
**Distance to the lowest polymorph of the same formula**: 0.00 eV per formula unit
**Energy of formation from the pure elements**: 0.9 eV/f.u.
**Raw total energy**: -3.247 eV/atom
**Magnetization**: 0.00 Bohr magnetons per cell
**Space group**: No. 65
**Fermi-level density of states**: 1.080 states/eV/atom

a b c (Å): 7.322 7.322 3.355
angles (deg): 90.00 90.00 94.26
Atoms (fractional coordinates):
Dy 0.000 0.000 0.000
Mg 0.000 0.500 0.000
Mg 0.273 0.727 0.500
Mg 0.500 0.000 0.000
Mg 0.727 0.273 0.500
Sc 0.296 0.296 0.500
Sc 0.704 0.704 0.500